# 1
A plane-wave DFT calculation with PBE was carried out for a relaxed structure of TmRuO4.

Calculated values
Raw formation energy: -196.8 kJ per mole of atoms
DOS at the Fermi energy: 2.602 states/eV/f.u.
Mass density: 7.76 g cm⁻³

Cell lengths 7.525, 5.228, 7.358 Å; angles 90.00, 99.07, 90.00 degrees
Space group P2_1/c (No. 14)
Symmetry-distinct sites (fractional):
1 Tm 0.146 0.216 0.391 x4
2 Ru 0.341 0.730 0.197 x4
3 O 0.110 0.513 0.173 x4
4 O 0.182 0.010 0.121 x4
5 O 0.332 0.627 0.943 x4
6 O 0.434 0.104 0.810 x4


# 2
A plane-wave DFT calculation with PBE was carried out for a relaxed structure of SrSi2Bi2.

Calculated values
Raw formation energy: 3.6 kJ per mole of atoms
DOS at the Fermi energy: 2.737 states/eV/f.u.
Mass density: 6.51 g cm⁻³

Cell lengths 4.625, 4.625, 13.396 Å; angles 90.00, 90.00, 90.00 degrees
Space group I4/mmm (No. 139)
Symmetry-distinct sites (fractional):
1 Sr 0.000 0.000 0.000 x2
2 Si 0.000 0.000 0.416 x4
3 Bi 0.000 0.500 0.250 x4